# Mn2Rh2Pb | Alexandria via LeMat-Bulk | PBE | relaxed
# **DOS at the Fermi energy**: 0.57 states/eV per atom
# **Energy relative to the lowest polymorph listed for this composition**: 85 meV/atom
# **Energy relative to the elements**: 0.16 eV per atom
# **Calculated total energy**: -7.194 eV/atom
# **Total magnetic moment**: 16.0 μB per cell
data_Mn2Rh2Pb
_symmetry_space_group_name_H-M 'P 4/m b m'
_symmetry_Int_Tables_number 127
_symmetry_space_group_name_Hall '-P 4 2ab'
_cell_length_a 7.475
_cell_length_b 7.475
_cell_length_c 3.010
_cell_angle_alpha 90.00
_cell_angle_beta 90.00
_cell_angle_gamma 90.00
loop_
_atom_site_label
_atom_site_fract_x
_atom_site_fract_y
_atom_site_fract_z
Mn1 0.140 0.360 0.000
Rh1 0.149 0.649 0.500
Pb1 0.000 0.000 0.000